Here is crystalline Na2FeTeO6 at its relaxed geometry from Alexandria via LeMat-Bulk. Energies are from PBE+U.

Summary:
As for the density: 4.6 g cm⁻³. Its space group is No. 14. Its total energy is -107.5 eV/cell. The total moment is 12.1 μB per cell.

Lattice parameters (Å, degrees): 5.4728 5.5213 9.5174 90.00 125.06 90.00
With the nearest neighbours (Å) after each atom.
Fractional positions:
Na (0.2462, 0.0238, 0.2500)  4 O 2.41-2.58
Na (0.2462, 0.4762, 0.7500)  4 O 2.41-2.58
Na (0.7538, 0.5238, 0.2500)  4 O 2.41-2.58
Na (0.7538, 0.9762, 0.7500)  4 O 2.41-2.58
Fe (0.0000, 0.0000, 0.5000)  6 O 2.02-2.03
Fe (0.0000, 0.5000, 0.0000)  6 O 2.02-2.03
Te (0.5000, 0.0000, 0.0000)  6 O 1.94
Te (0.5000, 0.5000, 0.5000)  6 O 1.94
O (0.1848, 0.2054, 0.9677)  1 Te 1.94, 1 Fe 2.03
O (0.1848, 0.2946, 0.4677)  1 Te 1.94, 1 Fe 2.03
O (0.2626, 0.7170, 0.9667)  1 Te 1.94, 1 Fe 2.03
O (0.2626, 0.7830, 0.4667)  1 Te 1.94, 1 Fe 2.03
O (0.3200, 0.0148, 0.7556)  1 Te 1.94, 1 Fe 2.02
O (0.3200, 0.4852, 0.2556)  1 Te 1.94, 1 Fe 2.02
O (0.6800, 0.5148, 0.7444)  1 Te 1.94, 1 Fe 2.02
O (0.6800, 0.9852, 0.2444)  1 Te 1.94, 1 Fe 2.02
O (0.7374, 0.2170, 0.5333)  1 Te 1.94, 1 Fe 2.03
O (0.7374, 0.2830, 0.0333)  1 Te 1.94, 1 Fe 2.03
O (0.8152, 0.7054, 0.5323)  1 Te 1.94, 1 Fe 2.03
O (0.8152, 0.7946, 0.0323)  1 Te 1.94, 1 Fe 2.03